! MnPd8Pt2 (PBE, relaxed); values from VASP
&SYSTEM
  ibrav = 0, nat = 11, ntyp = 3
/
ATOMIC_SPECIES
Mn 54.94 Mn.upf
Pd 106.42 Pd.upf
Pt 195.08 Pt.upf
CELL_PARAMETERS angstrom
3.816 0.000 -1.016
-0.409 6.021 -1.536
-0.083 -0.065 7.361
ATOMIC_POSITIONS crystal
Mn 0.500 0.000 0.000
Pd 0.590 0.448 0.180
Pd 0.319 0.091 0.638
Pd 0.134 0.178 0.269
Pd 0.045 0.730 0.090
Pd 0.866 0.822 0.731
Pd 0.681 0.909 0.362
Pd 0.410 0.552 0.820
Pd 0.955 0.270 0.910
Pt 0.225 0.633 0.451
Pt 0.775 0.367 0.549
! Calculated total energy: -63.92 eV/cell
! Energy above the most stable polymorph in this dataset: 0.000 eV/atom
! M_tot: 5.4 μB/f.u.
! Calculated density: 12.80 Mg/m³
! Formation energy from the elements: -0.1025 eV per atom
! Space-group type: C2/m (12)